VASP calculation (PBE-GGA) on crystalline CoCl3 at its relaxed geometry.

Computed properties:
Its density of states at the Fermi level is 5.799 states/eV/cell. As for the size of the total moment: 3.05 μB per formula unit. The value obtained for the electronic total energy is -10.764 eV/cell.

a b c (Å): 4.768 4.768 4.768
angles (deg): 109.45 109.45 109.45
Each line ends with the local moment (μB).
Element x y z (fractional)
1 Cl 0.000 0.500 0.500  0.19
2 Cl 0.500 0.500 0.000  0.19
3 Cl 0.000 0.000 0.000  0.19
4 Co 0.500 0.000 0.500  2.30